[1]
DFT (PBE) results for KBaI2 after structural relaxation.

As for the total moment: 0.40 μB/cell. For the energy above the most stable polymorph in this dataset, the calculation gives 53 meV per atom. Its crystal system is tetragonal. The value obtained for the uncorrected formation energy is -1.290 eV/atom.

The structure belongs to space group P4/mmm (No. 123); the cell edges are 4.300, 4.300 and 8.718 Å and the angles 90.00°, 90.00° and 90.00°. The asymmetric unit holds K at (0.000, 0.000, 0.000), Ba at (0.000, 0.000, 0.500) and I at (0.500, 0.500, 0.260).

***

[2]
DFT (PBE) results for KBaI3 after structural relaxation.

As for the total moment: 0.00 μB/cell. For the energy above the most stable polymorph in this dataset, the calculation gives 149 meV per atom. Its crystal system is cubic. The value obtained for the uncorrected formation energy is -1.514 eV/atom.

The structure belongs to space group Pm-3m (No. 221); the cell edges are 6.759, 6.759 and 6.759 Å and the angles 90.00°, 90.00° and 90.00°. The asymmetric unit holds K at (0.000, 0.000, 0.000), Ba at (0.500, 0.500, 0.500) and I at (0.000, 0.500, 0.500).

***

[3]
DFT (PBE) results for KBa2I after structural relaxation.

As for the total moment: 4.44 μB/cell. For the energy above the most stable polymorph in this dataset, the calculation gives 153 meV per atom. Its crystal system is tetragonal. The value obtained for the uncorrected formation energy is -0.426 eV/atom.

The structure belongs to space group I-42d (No. 122); the cell edges are 11.101, 11.101 and 8.358 Å and the angles 90.00°, 90.00° and 90.00°. The asymmetric unit holds K at (0.000, 0.000, 0.000), Ba at (0.166, 0.750, 0.625) and I at (0.000, 0.000, 0.500).

***

[4]
DFT (PBE) results for KBa2I after structural relaxation.

As for the total moment: 0.87 μB/cell. For the energy above the most stable polymorph in this dataset, the calculation gives 0 meV per atom. Its crystal system is trigonal. The value obtained for the uncorrected formation energy is -0.580 eV/atom.

The structure belongs to space group R3m (No. 160, hexagonal axes); the cell edges are 4.5537, 4.5537 and 38.6529 Å and the angles 90.00°, 90.00° and 120.00°. The asymmetric unit holds K at (0.0000, 0.0000, 0.0000), Ba at (0.0000, 0.0000, 0.5659), Ba at (0.0000, 0.0000, 0.7678) and I at (0.0000, 0.0000, 0.1670).